VASP calculation (PBE) on crystalline BaGeI2N at its relaxed geometry.

Calculated values
- energy above the lowest structure with this stoichiometry (eV/f.u.) = 4.350
- DFT total energy (eV per cell) = -15.0
- Fermi-level density of states (states/eV/f.u.) = 5.45

Unit cell a=6.7190 b=6.7190 c=4.6052 alpha=90.00 beta=90.00 gamma=90.00
Closest atoms and distances in Å follow each position.
Space group P4/mmm (No. 123)
Asymmetric unit:
Ba 0.0000 0.0000 0.0000 (multiplicity 1)  2 N 2.30
Ge 0.5000 0.5000 0.5000 (multiplicity 1)  8 I 4.07
I 0.0000 0.5000 0.0000 (multiplicity 2)  2 Ba 3.36
N 0.0000 0.0000 0.5000 (multiplicity 1)  2 Ba 2.30